# 1
SrSbRu3: relaxed, PBEsol.

Cell: 4.844 4.844 4.844 Å, 90.00 90.00 90.00°
Space group Pm-3m (No. 221)
One atom of each set of equivalent atoms:
1 Sr 0.000 0.000 0.000
2 Sb 0.500 0.500 0.500
3 Ru 0.000 0.500 0.500

Properties
Energy relative to the elements, uncorrected (eV/atom): 1.079
Total magnetic moment (μB/f.u.): 1.6
Density of states at the Fermi level (states/eV/f.u.): 8.86

# 2
SrSb12Ru4: relaxed, PBEsol.

Cell: 9.284 9.284 9.284 Å, 90.00 90.00 90.00°
Space group Im-3 (No. 204)
One atom of each set of equivalent atoms:
1 Sr 0.000 0.000 0.000
2 Sb 0.000 0.342 0.160
3 Ru 0.250 0.250 0.250

Properties
Energy relative to the elements, uncorrected (eV/atom): -0.329
Total magnetic moment (μB/f.u.): 0.0
Density of states at the Fermi level (states/eV/f.u.): 12.34

# 3
TaSbRu4: relaxed, PBEsol.

Cell: 7.201 7.201 7.201 Å, 90.00 90.00 90.00°
Space group F-43m (No. 216)
One atom of each set of equivalent atoms:
1 Ta 0.000 0.000 0.000
2 Sb 0.250 0.250 0.750
3 Ru 0.125 0.125 0.375

Properties
Energy relative to the elements, uncorrected (eV/atom): 0.278
Total magnetic moment (μB/f.u.): 0.0
Density of states at the Fermi level (states/eV/f.u.): 8.62

# 4
TaSbRu: relaxed, PBEsol.

Cell: 3.106 3.106 11.099 Å, 90.00 90.00 90.00°
Space group I4mm (No. 107)
One atom of each set of equivalent atoms:
1 Ta 0.000 0.000 0.000
2 Sb 0.000 0.000 0.692
3 Ru 0.000 0.000 0.370

Properties
Energy relative to the elements, uncorrected (eV/atom): 0.041
Total magnetic moment (μB/f.u.): 0.0
Density of states at the Fermi level (states/eV/f.u.): 2.69

# 5
TaSbTe2Ru: relaxed, PBEsol.

Cell: 5.238 5.238 5.295 Å, 90.00 90.00 90.00°
Space group P4/mmm (No. 123)
One atom of each set of equivalent atoms:
1 Ta 0.000 0.000 0.000
2 Sb 0.000 0.000 0.500
3 Te 0.000 0.500 0.000
4 Ru 0.500 0.500 0.500

Properties
Energy relative to the elements, uncorrected (eV/atom): 1.287
Total magnetic moment (μB/f.u.): 2.7
Density of states at the Fermi level (states/eV/f.u.): 6.57

# 6
TcSb2Ru: relaxed, PBEsol.

Cell: 9.523 3.231 4.566 Å, 90.00 103.09 90.00°
Space group Cm (No. 8)
One atom of each set of equivalent atoms:
1 Tc 0.000 0.000 0.000
2 Sb 0.233 0.500 0.097
3 Sb 0.491 0.000 0.492
4 Ru 0.226 0.000 0.594

Properties
Energy relative to the elements, uncorrected (eV/atom): 0.077
Total magnetic moment (μB/f.u.): 0.0
Density of states at the Fermi level (states/eV/f.u.): 2.65

# 7
TcSb2Ru: relaxed, PBEsol.

Cell: 6.453 6.453 6.453 Å, 90.00 90.00 90.00°
Space group Fm-3m (No. 225)
One atom of each set of equivalent atoms:
1 Tc 0.000 0.000 0.000
2 Sb 0.250 0.250 0.250
3 Ru 0.000 0.000 0.500

Properties
Energy relative to the elements, uncorrected (eV/atom): 0.100
Total magnetic moment (μB/f.u.): 0.0
Density of states at the Fermi level (states/eV/f.u.): 1.99

# 8
Tc2SbRu: relaxed, PBEsol.

Cell: 3.721 3.721 4.409 Å, 90.00 90.00 90.00°
Space group P4/mmm (No. 123)
One atom of each set of equivalent atoms:
1 Tc 0.000 0.500 0.000
2 Sb 0.000 0.000 0.500
3 Ru 0.500 0.500 0.500

Properties
Energy relative to the elements, uncorrected (eV/atom): 0.363
Total magnetic moment (μB/f.u.): 0.0
Density of states at the Fermi level (states/eV/f.u.): 6.15

# 9
Tc2SbRu: relaxed, PBEsol.

Cell: 3.068 4.459 8.855 Å, 90.00 90.00 90.00°
Space group Imm2 (No. 44)
One atom of each set of equivalent atoms:
1 Tc 0.000 0.000 0.000
2 Tc 0.000 0.500 0.244
3 Sb 0.000 0.000 0.504
4 Ru 0.000 0.500 0.772

Properties
Energy relative to the elements, uncorrected (eV/atom): 0.251
Total magnetic moment (μB/f.u.): 0.0
Density of states at the Fermi level (states/eV/f.u.): 4.07

# 10
TcSb2Ru: relaxed, PBEsol.

Cell: 3.234 3.234 6.406 Å, 90.00 90.00 90.00°
Space group P4/mmm (No. 123)
One atom of each set of equivalent atoms:
1 Tc 0.000 0.000 0.000
2 Sb 0.500 0.500 0.248
3 Ru 0.000 0.000 0.500

Properties
Energy relative to the elements, uncorrected (eV/atom): 0.094
Total magnetic moment (μB/f.u.): 0.0
Density of states at the Fermi level (states/eV/f.u.): 2.73

# 11
ZnSb2TeRu: relaxed, PBEsol.

Cell: 4.931 4.931 5.548 Å, 90.00 90.00 90.00°
Space group P4/mmm (No. 123)
One atom of each set of equivalent atoms:
1 Zn 0.000 0.000 0.000
2 Sb 0.000 0.500 0.500
3 Te 0.500 0.500 0.000
4 Ru 0.500 0.500 0.500

Properties
Energy relative to the elements, uncorrected (eV/atom): 0.537
Total magnetic moment (μB/f.u.): 0.0
Density of states at the Fermi level (states/eV/f.u.): 3.52

# 12
TiSb3Ru: relaxed, PBEsol.

Cell: 5.049 5.049 5.049 Å, 90.00 90.00 90.00°
Space group Pm-3m (No. 221)
One atom of each set of equivalent atoms:
1 Ti 0.000 0.000 0.000
2 Sb 0.000 0.500 0.500
3 Ru 0.500 0.500 0.500

Properties
Energy relative to the elements, uncorrected (eV/atom): 0.703
Total magnetic moment (μB/f.u.): 2.6
Density of states at the Fermi level (states/eV/f.u.): 6.72